Material: BaCuB4
Method: DFT, PBE
State: optimized geometry

## Properties
As for the total energy: -5.008 eV/atom. For the volume, the calculation gives 69 Å³/cell. For the density, the calculation gives 5917 kg/m3.

Cell: 3.1963 3.1963 7.7431 Å, 90.00 90.00 120.00°
Last column: nearest neighbours and their distance in Å.
Space group P6/mmm (No. 191)
Unique sites:
1 Ba 0.0000 0.0000 0.0000 (multiplicity 1)  12 B 3.05, 6 Ba 3.20
2 Cu 0.0000 0.0000 0.5000 (multiplicity 1)  12 B 2.34
3 B 0.3333 0.6667 0.3144 (multiplicity 4)  3 B 1.85

Material: BaDyB
Method: DFT, PBE
State: optimized geometry

## Properties
As for the total energy: -3.781 eV/atom. For the volume, the calculation gives 325 Å³/cell. For the density, the calculation gives 6350 kg/m3.

Cell: 6.8747 6.8747 6.8747 Å, 90.00 90.00 90.00°
Last column: nearest neighbours and their distance in Å.
Space group F-43m (No. 216)
Unique sites:
1 Ba 0.0000 0.0000 0.0000 (multiplicity 4)  4 B 2.98
2 Dy 0.0000 0.0000 0.5000 (multiplicity 4)  4 B 2.98
3 B 0.2500 0.2500 0.2500 (multiplicity 4)  4 Ba 2.98, 4 Dy 2.98

Material: BaDyB
Method: DFT, PBE
State: optimized geometry

## Properties
As for the total energy: -2.954 eV/atom. For the volume, the calculation gives 317 Å³/cell. For the density, the calculation gives 6499 kg/m3.

Cell: 6.8220 6.8220 6.8220 Å, 90.00 90.00 90.00°
Last column: nearest neighbours and their distance in Å.
Space group F-43m (No. 216)
Unique sites:
1 Ba 0.0000 0.0000 0.0000 (multiplicity 4)  4 Dy 2.95, 4 B 2.95
2 Dy 0.2500 0.2500 0.2500 (multiplicity 4)  4 Ba 2.95
3 B 0.2500 0.2500 0.7500 (multiplicity 4)  4 Ba 2.95

Material: BaErB4
Method: DFT, PBE
State: optimized geometry

## Properties
As for the total energy: -5.600 eV/atom. For the volume, the calculation gives 193 Å³/cell. For the density, the calculation gives 5983 kg/m3.

Cell: 3.1577 7.7111 7.9288 Å, 90.00 90.00 90.00°
Last column: nearest neighbours and their distance in Å.
Space group Immm (No. 71)
Unique sites:
1 Ba 0.0000 0.0000 0.0000 (multiplicity 2)  12 B 2.85-3.11, 2 Ba 3.16
2 Er 0.0000 0.0000 0.5000 (multiplicity 2)  12 B 2.88-3.09, 2 Er 3.16
3 B 0.0000 0.2684 0.2480 (multiplicity 8)  2 B 1.60

Material: BaErB4
Method: DFT, PBE
State: optimized geometry

## Properties
As for the total energy: -5.641 eV/atom. For the volume, the calculation gives 81 Å³/cell. For the density, the calculation gives 7102 kg/m3.

Cell: 3.2829 3.2829 8.7137 Å, 90.00 90.00 120.00°
Last column: nearest neighbours and their distance in Å.
Space group P6/mmm (No. 191)
Unique sites:
1 Ba 0.0000 0.0000 0.0000 (multiplicity 1)  12 B 3.14, 6 Ba 3.28
2 Er 0.0000 0.0000 0.5000 (multiplicity 1)  12 B 2.65
3 B 0.3333 0.6667 0.2871 (multiplicity 4)  3 B 1.90

Material: Ba5Zn2B4O12F2
Method: DFT, PBE
State: optimized geometry

## Properties
As for the total energy: -6.749 eV/atom. For the volume, the calculation gives 1431 Å³/cell. For the density, the calculation gives 5062 kg/m3.

Cell: 25.7360 7.2462 7.9641 Å, 90.00 105.49 90.00°
Last column: nearest neighbours and their distance in Å.
Space group C2/c (No. 15)
Unique sites:
1 Ba 0.0000 0.0690 0.2500 (multiplicity 4)  2 F 2.62, 6 O 2.84-2.88
2 Ba 0.0746 0.3873 0.6667 (multiplicity 8)  2 F 2.59-2.61, 4 O 2.66-2.87
3 Ba 0.1670 0.0933 0.4022 (multiplicity 8)  7 O 2.73-2.96, 1 F 2.74
4 Zn 0.1918 0.3459 0.0161 (multiplicity 8)  4 O 1.92-2.00
5 B 0.0766 0.1920 0.0310 (multiplicity 8)  3 O 1.38-1.39
6 B 0.2245 0.3466 0.7211 (multiplicity 8)  3 O 1.38-1.39
7 O 0.0242 0.2536 0.9590 (multiplicity 8)  1 B 1.39
8 O 0.0868 0.0131 0.0910 (multiplicity 8)  1 B 1.38
9 O 0.1175 0.3186 0.0326 (multiplicity 8)  1 B 1.39
10 O 0.1811 0.2707 0.7677 (multiplicity 8)  1 B 1.38
11 O 0.2181 0.4058 0.5509 (multiplicity 8)  1 B 1.39
12 O 0.2248 0.1401 0.1641 (multiplicity 8)  1 B 1.38
13 F 0.0774 0.3124 0.3507 (multiplicity 8)  4 Ba 2.59-2.74, 1 B 2.69

Material: BaZn3B2O6F2
Method: DFT, PBE
State: optimized geometry

## Properties
As for the total energy: -6.043 eV/atom. For the volume, the calculation gives 158 Å³/cell. For the density, the calculation gives 5154 kg/m3.

Cell: 4.8987 4.8987 7.5839 Å, 90.00 90.00 120.00°
Last column: nearest neighbours and their distance in Å.
Space group P-3 (No. 147)
Unique sites:
1 Ba 0.0000 0.0000 0.0000 (multiplicity 1)  6 F 2.83, 6 O 2.98
2 Zn 0.0000 0.0000 0.5000 (multiplicity 1)  6 O 2.11
3 Zn 0.3333 0.6667 0.2886 (multiplicity 2)  3 O 1.94, 1 F 2.00
4 B 0.3333 0.6667 0.6754 (multiplicity 2)  3 O 1.38
5 O 0.0735 0.7062 0.6729 (multiplicity 6)  1 B 1.38
6 F 0.3333 0.6667 0.0246 (multiplicity 2)  1 Zn 2.00

Material: BaGdB
Method: DFT, PBE
State: optimized geometry

## Properties
As for the total energy: -3.016 eV/atom. For the volume, the calculation gives 321 Å³/cell. For the density, the calculation gives 6318 kg/m3.

Cell: 6.8474 6.8474 6.8474 Å, 90.00 90.00 90.00°
Last column: nearest neighbours and their distance in Å.
Space group F-43m (No. 216)
Unique sites:
1 Ba 0.0000 0.0000 0.0000 (multiplicity 4)  4 Gd 2.97, 4 B 2.97
2 Gd 0.2500 0.2500 0.2500 (multiplicity 4)  4 Ba 2.97
3 B 0.2500 0.2500 0.7500 (multiplicity 4)  4 Ba 2.97

Material: BaGdB4
Method: DFT, PBE
State: optimized geometry

## Properties
As for the total energy: -5.651 eV/atom. For the volume, the calculation gives 197 Å³/cell. For the density, the calculation gives 5683 kg/m3.

Cell: 3.1614 7.8082 7.9978 Å, 90.00 90.00 90.00°
Last column: nearest neighbours and their distance in Å.
Space group Immm (No. 71)
Unique sites:
1 Ba 0.0000 0.0000 0.0000 (multiplicity 2)  12 B 2.88-3.14, 2 Ba 3.16
2 Gd 0.0000 0.0000 0.5000 (multiplicity 2)  12 B 2.90-3.12, 2 Gd 3.16
3 B 0.0000 0.2675 0.2482 (multiplicity 8)  2 B 1.60

Material: BaGdB4
Method: DFT, PBE
State: optimized geometry

## Properties
As for the total energy: -5.588 eV/atom. For the volume, the calculation gives 83 Å³/cell. For the density, the calculation gives 6728 kg/m3.

Cell: 3.3044 3.3044 8.8175 Å, 90.00 90.00 120.00°
Last column: nearest neighbours and their distance in Å.
Space group P6/mmm (No. 191)
Unique sites:
1 Ba 0.0000 0.0000 0.0000 (multiplicity 1)  12 B 3.13, 6 Ba 3.30
2 Gd 0.0000 0.0000 0.5000 (multiplicity 1)  12 B 2.71
3 B 0.3333 0.6667 0.2817 (multiplicity 4)  3 B 1.91

Material: Ba2Gd2B3
Method: DFT, PBE
State: optimized geometry

## Properties
As for the total energy: -4.020 eV/atom. For the volume, the calculation gives 417 Å³/cell. For the density, the calculation gives 4954 kg/m3.

Cell: 3.4988 18.8965 6.3033 Å, 90.00 90.00 90.00°
Last column: nearest neighbours and their distance in Å.
Space group Cmmm (No. 65)
Unique sites:
1 Ba 0.0000 0.1147 0.0000 (multiplicity 4)  2 Ba 3.50, 4 Gd 3.62, 2 B 3.87
2 Gd 0.0000 0.3668 0.5000 (multiplicity 4)  4 B 2.51-2.58
3 B 0.0000 0.2337 0.5000 (multiplicity 4)  2 B 1.85
4 B 0.0000 0.5000 0.5000 (multiplicity 2)  2 Gd 2.52

Material: BaGdB
Method: DFT, PBE
State: optimized geometry

## Properties
As for the total energy: -3.810 eV/atom. For the volume, the calculation gives 329 Å³/cell. For the density, the calculation gives 6167 kg/m3.

Cell: 6.9028 6.9028 6.9028 Å, 90.00 90.00 90.00°
Last column: nearest neighbours and their distance in Å.
Space group F-43m (No. 216)
Unique sites:
1 Ba 0.0000 0.0000 0.0000 (multiplicity 4)  4 B 2.99
2 Gd 0.0000 0.0000 0.5000 (multiplicity 4)  4 B 2.99
3 B 0.2500 0.2500 0.2500 (multiplicity 4)  4 Ba 2.99, 4 Gd 2.99

Material: BaHfB2O6
Method: DFT, PBE
State: optimized geometry

## Properties
As for the total energy: -8.481 eV/atom. For the volume, the calculation gives 769 Å³/cell. For the density, the calculation gives 5613 kg/m3.

Cell: 5.1530 5.1530 33.4565 Å, 90.00 90.00 120.00°
Last column: nearest neighbours and their distance in Å.
Space group R3c (No. 161, hexagonal axes)
Unique sites:
1 Ba 0.0000 0.0000 0.0000 (multiplicity 6)  6 O 2.77-2.78
2 Hf 0.0000 0.0000 0.2509 (multiplicity 6)  6 O 2.06-2.07
3 B 0.0000 0.0000 0.1205 (multiplicity 6)  3 O 1.37
4 B 0.0000 0.0000 0.3819 (multiplicity 6)  3 O 1.38
5 O 0.0329 0.4554 0.0479 (multiplicity 18)  1 B 1.38
6 O 0.1309 0.3645 0.2881 (multiplicity 18)  1 B 1.37

Material: BaHgB2
Method: DFT, PBE
State: optimized geometry

## Properties
As for the total energy: -2.399 eV/atom. For the volume, the calculation gives 353 Å³/cell. For the density, the calculation gives 6766 kg/m3.

Cell: 7.0669 7.0669 7.0669 Å, 90.00 90.00 90.00°
Last column: nearest neighbours and their distance in Å.
Space group F-43m (No. 216)
Unique sites:
1 Ba 0.0000 0.0000 0.0000 (multiplicity 4)  4 Hg 3.06, 4 B 3.06
2 Hg 0.2500 0.2500 0.2500 (multiplicity 4)  4 Ba 3.06, 4 B 3.06
3 B 0.0000 0.0000 0.5000 (multiplicity 4)  4 Hg 3.06, 4 B 3.06
4 B 0.2500 0.2500 0.7500 (multiplicity 4)  4 Ba 3.06, 4 B 3.06

Material: Ba2HgB2O6
Method: DFT, PBE
State: optimized geometry

## Properties
As for the total energy: -6.551 eV/atom. For the volume, the calculation gives 308 Å³/cell. For the density, the calculation gives 6403 kg/m3.

Cell: 9.9161 5.3506 6.5759 Å, 90.00 118.19 90.00°
Last column: nearest neighbours and their distance in Å.
Space group C2/m (No. 12)
Unique sites:
1 Ba 0.2075 0.0000 0.1933 (multiplicity 4)  9 O 2.77-2.88
2 Hg 0.0000 0.0000 0.5000 (multiplicity 2)  4 O 2.31
3 B 0.0478 0.5000 0.2529 (multiplicity 4)  3 O 1.37-1.41
4 O 0.0361 0.2768 0.7911 (multiplicity 8)  1 B 1.41
5 O 0.2026 0.5000 0.3335 (multiplicity 4)  1 B 1.37

Material: BaHoB4
Method: DFT, PBE
State: optimized geometry

## Properties
As for the total energy: -5.628 eV/atom. For the volume, the calculation gives 82 Å³/cell. For the density, the calculation gives 7011 kg/m3.

Cell: 3.2884 3.2884 8.7382 Å, 90.00 90.00 120.00°
Last column: nearest neighbours and their distance in Å.
Space group P6/mmm (No. 191)
Unique sites:
1 Ba 0.0000 0.0000 0.0000 (multiplicity 1)  12 B 3.14, 6 Ba 3.29
2 Ho 0.0000 0.0000 0.5000 (multiplicity 1)  12 B 2.67
3 B 0.3333 0.6667 0.2859 (multiplicity 4)  3 B 1.90

Material: BaHoB4
Method: DFT, PBE
State: optimized geometry

## Properties
As for the total energy: -5.612 eV/atom. For the volume, the calculation gives 195 Å³/cell. For the density, the calculation gives 5898 kg/m3.

Cell: 3.1602 7.7394 7.9547 Å, 90.00 90.00 90.00°
Last column: nearest neighbours and their distance in Å.
Space group Immm (No. 71)
Unique sites:
1 Ba 0.0000 0.0000 0.0000 (multiplicity 2)  12 B 2.86-3.12, 2 Ba 3.16
2 Ho 0.0000 0.0000 0.5000 (multiplicity 2)  12 B 2.88-3.10, 2 Ho 3.16
3 B 0.0000 0.2678 0.2481 (multiplicity 8)  2 B 1.60

Material: Ba3HoB3O9
Method: DFT, PBE
State: optimized geometry

## Properties
As for the total energy: -7.591 eV/atom. For the volume, the calculation gives 1336 Å³/cell. For the density, the calculation gives 5617 kg/m3.

Cell: 9.4434 9.4434 17.3016 Å, 90.00 90.00 120.00°
Last column: nearest neighbours and their distance in Å.
Space group P6_3cm (No. 185)
Unique sites:
1 Ba 0.0000 0.0000 0.0000 (multiplicity 2)  9 O 2.77-2.92
2 Ba 0.0000 0.3216 0.6493 (multiplicity 6)  9 O 2.70-2.88
3 Ba 0.0000 0.3445 0.4066 (multiplicity 6)  9 O 2.65-2.92
4 Ba 0.3333 0.6667 0.0500 (multiplicity 4)  9 O 2.76-3.02
5 Ho 0.0000 0.0000 0.2801 (multiplicity 2)  6 O 2.22-2.23
6 Ho 0.3333 0.6667 0.2761 (multiplicity 4)  6 O 2.21-2.25
7 B 0.0000 0.3268 0.8547 (multiplicity 6)  3 O 1.38
8 B 0.0000 0.3326 0.0270 (multiplicity 6)  3 O 1.39
9 B 0.0000 0.3405 0.1978 (multiplicity 6)  3 O 1.39
10 O 0.0000 0.1810 0.8629 (multiplicity 6)  1 B 1.38
11 O 0.0000 0.1946 0.2080 (multiplicity 6)  1 B 1.39
12 O 0.0000 0.4799 0.0261 (multiplicity 6)  1 B 1.39
13 O 0.1464 0.4731 0.8500 (multiplicity 12)  1 B 1.38
14 O 0.1474 0.3327 0.0277 (multiplicity 12)  1 B 1.39
15 O 0.1470 0.4865 0.1932 (multiplicity 12)  1 B 1.39

Material: BaBIr
Method: DFT, PBE
State: optimized geometry

## Properties
As for the total energy: -4.757 eV/atom. For the volume, the calculation gives 261 Å³/cell. For the density, the calculation gives 8672 kg/m3.

Cell: 6.3881 6.3881 6.3881 Å, 90.00 90.00 90.00°
Last column: nearest neighbours and their distance in Å.
Space group F-43m (No. 216)
Unique sites:
1 Ba 0.0000 0.0000 0.0000 (multiplicity 4)  4 B 2.77
2 B 0.2500 0.2500 0.2500 (multiplicity 4)  4 Ba 2.77, 4 Ir 2.77
3 Ir 0.0000 0.0000 0.5000 (multiplicity 4)  4 B 2.77